Below is a relaxed structure of Cs2AcFe2O6, with properties calculated at the PBE+U level.

Cell: 6.448 6.448 7.321 Å, 63.87 63.87 60.00°
Sites, in units of the cell vectors:
O: 0.744 0.744 0.242
Fe: 0.573 0.573 0.281
O: 0.744 0.271 0.242
Cs: 0.781 0.781 0.656
O: 0.729 0.256 0.758
O: 0.256 0.256 0.758
Ac: 0.000 0.000 0.000
Cs: 0.219 0.219 0.344
O: 0.256 0.729 0.758
O: 0.271 0.744 0.242
Fe: 0.427 0.427 0.719

Computed properties:
**Raw total energy**: -65.00 eV for the cell shown
**SG**: R-3m, No. 166